Record 1
Mn2CrFe4 PBE optimized geometry; DOS at the Fermi energy = 1.164 states/eV per atom; uncorrected energy = -8.77 eV/atom; space-group type = P1; energy of formation from the pure elements = 0.4 eV per formula unit
1.0
4.302 0.159 -1.823
-2.374 5.087 -1.637
-0.102 0.223 6.555
Cr Mn Fe
2 4 8
Cartesian
-0.055 3.486 1.389
-1.695 4.515 -1.488
0.603 4.919 -0.545
1.752 2.564 2.871
-0.615 2.019 3.342
1.508 1.749 0.537
2.295 4.064 0.925
1.175 1.118 4.785
3.460 1.311 -0.813
0.917 0.315 2.466
3.132 0.715 3.437
-0.230 2.617 -0.909
2.046 3.219 -1.382
0.209 4.329 3.726

Record 2
Mg2ReTcAs PBE optimized geometry; DOS at the Fermi energy = 0.670 states/eV per atom; uncorrected energy = -4.91 eV/atom; space-group type = P4/mmm; energy of formation from the pure elements = 6.1 eV per formula unit
1.0
4.752 0.000 0.000
0.000 4.587 0.000
0.000 0.000 4.752
Mg Re As Tc
2 1 1 1
Cartesian
0.000 0.000 2.376
2.376 0.000 0.000
2.376 2.293 2.376
0.000 0.000 0.000
0.000 2.293 0.000

Record 3
Sm3Cd4Ag4 PBE optimized geometry; DOS at the Fermi energy = 0.792 states/eV per atom; uncorrected energy = -2.89 eV/atom; space-group type = Immm; energy of formation from the pure elements = -2.5 eV per formula unit
1.0
4.165 0.000 -1.146
-0.901 7.282 -3.273
0.207 -0.411 8.888
Sm Cd Ag
3 4 4
Cartesian
0.452 0.794 1.642
3.018 6.076 2.827
-0.451 3.641 -1.637
1.389 0.706 5.046
2.434 3.315 0.703
2.081 6.164 -0.577
1.037 3.555 3.766
0.377 5.095 1.370
3.093 1.776 3.099
1.345 5.955 -3.250
1.918 1.326 -1.169

Record 4
CdPAu PBE optimized geometry; DOS at the Fermi energy = 0.259 states/eV per atom; uncorrected energy = -3.28 eV/atom; space-group type = P1; energy of formation from the pure elements = -0.3 eV per formula unit
1.0
3.240 -0.020 -0.002
-1.625 5.528 0.037
0.003 -1.899 7.513
Cd P Au
2 2 2
Cartesian
-0.743 3.983 4.203
2.493 0.831 6.596
2.488 0.647 0.843
0.874 1.567 2.009
0.869 3.859 1.398
0.875 1.372 4.403

Record 5
Sr4Cu2Pt PBE optimized geometry; DOS at the Fermi energy = 0.554 states/eV per atom; uncorrected energy = -3.16 eV/atom; space-group type = I4/mmm; energy of formation from the pure elements = -1.2 eV per formula unit
1.0
-5.610 1.342 1.395
0.648 -2.727 5.231
4.716 6.938 -0.334
Sr Cu Pt
4 2 1
Cartesian
-1.162 2.993 5.071
0.916 2.560 1.221
0.324 -1.363 2.616
-2.805 0.671 0.697
-2.105 0.360 3.815
1.858 5.194 2.477
0.000 0.000 0.000

Record 6
CdSi PBE optimized geometry; DOS at the Fermi energy = 0.280 states/eV per atom; uncorrected energy = -2.91 eV/atom; space-group type = P-1
1.0
2.963 0.049 0.099
1.496 3.396 0.094
1.580 0.823 8.289
Cd Si
2 2
Cartesian
3.826 1.073 7.095
2.214 3.196 1.388
2.311 1.423 3.518
3.728 2.845 4.965

> Among the records above, which one has the lowest uncorrected energy?

Mn2CrFe4